Entry 1:
Here is crystalline SrLaSi2 at its relaxed geometry from the Alexandria database. Energies are from PBE.

Properties
Raw formation energy in eV/atom: -0.380
E above lowest polymorph in meV/atom: 200

a = 4.003 Å, b = 4.103 Å, c = 6.727 Å
α = 90.00°, β = 90.00°, γ = 90.00°
Space group Pmmm (No. 47)
Symmetry-distinct sites (fractional):
Sr1 0.000 0.000 0.000 (multiplicity 1)
La1 0.000 0.000 0.500 (multiplicity 1)
Si1 0.500 0.500 0.319 (multiplicity 2)

=====

Entry 2:
Here is crystalline NdAlSi at its relaxed geometry from the Alexandria database. Energies are from PBE.

Properties
Raw formation energy in eV/atom: -0.656

a = 4.2279 Å, b = 4.2279 Å, c = 4.1966 Å
α = 90.00°, β = 90.00°, γ = 120.00°
Space group P-6m2 (No. 187)
Symmetry-distinct sites (fractional):
Nd1 0.0000 0.0000 0.0000 (multiplicity 1)
Al1 0.3333 0.6667 0.5000 (multiplicity 1)
Si1 0.6667 0.3333 0.5000 (multiplicity 1)

=====

Entry 3:
Here is crystalline NaAgAs2O6 at its relaxed geometry from the Alexandria database. Energies are from PBE.

Properties
Raw formation energy in eV/atom: -1.145

a = 10.962 Å, b = 10.358 Å, c = 5.393 Å
α = 90.00°, β = 104.94°, γ = 90.00°
Space group C2/c (No. 15)
Symmetry-distinct sites (fractional):
Na1 0.000 0.103 0.250 (multiplicity 4)
Ag1 0.000 0.276 0.750 (multiplicity 4)
As1 0.213 0.412 0.248 (multiplicity 8)
O1 0.129 0.081 0.668 (multiplicity 8)
O2 0.136 0.274 0.151 (multiplicity 8)
O3 0.148 0.467 0.506 (multiplicity 8)

=====

Entry 4:
Here is crystalline LaBeZn2Au5 at its relaxed geometry from the Alexandria database. Energies are from PBE.

Properties
Energy relative to the elements in kJ/mol of atoms: -29.29

a = 4.536 Å, b = 6.176 Å, c = 12.940 Å
α = 90.00°, β = 90.00°, γ = 90.00°
Space group Immm (No. 71)
Symmetry-distinct sites (fractional):
La1 0.000 0.000 0.000 (multiplicity 2)
Be1 0.000 0.000 0.500 (multiplicity 2)
Zn1 0.000 0.500 0.199 (multiplicity 4)
Au1 0.000 0.256 0.361 (multiplicity 8)
Au2 0.000 0.500 0.000 (multiplicity 2)

=====

Number 1: total moment 0.00 μB per atom, uncorrected energy -18.97 eV/f.u.. Number 2: total moment 0.00 μB per atom, uncorrected energy -15.90 eV/f.u.. Number 3: total moment 0.00 μB per atom, uncorrected energy -54.67 eV/f.u.. Number 4: total moment 0.00 μB per atom, uncorrected energy -30.32 eV/f.u..